Entry 1:
The following is a GGA-PBE calculation of an optimized crystal structure of BaCdO3, from Alexandria via LeMat-Bulk.

```
5
Lattice="4.549 0.000 0.000 0.000 4.549 0.000 0.000 0.000 4.549" Properties=species:S:1:pos:R:3 pbc="T T T"
Ba 0.000 0.000 0.000
Cd 2.274 2.274 2.274
O 0.000 0.000 2.274
O 0.000 2.274 0.000
O 2.274 0.000 0.000
```

Calculated values
ΔE_f (raw) = -0.216 eV/atom
Calculated density = 5.252 Mg/m³
Symmetry = Pm-3m, No. 221

=====

Entry 2:
The following is a GGA-PBE calculation of an optimized crystal structure of BaCdOsO6, from Alexandria via LeMat-Bulk.

```
9
Lattice="5.702 0.000 0.000 -2.851 4.938 0.000 0.000 0.000 5.441" Properties=species:S:1:pos:R:3 pbc="T T T"
Ba 0.000 0.000 0.000
Cd 0.000 3.292 2.720
Os 2.851 1.646 2.720
O 2.189 0.262 3.808
O 1.322 1.764 1.632
O 3.514 0.262 1.632
O 1.984 2.912 3.808
O 4.381 1.764 3.808
O 3.718 2.912 1.632
```

Calculated values
ΔE_f (raw) = -1.388 eV/atom
Calculated density = 5.808 Mg/m³
Symmetry = P312, No. 149

=====

Entry 3:
The following is a GGA-PBE calculation of an optimized crystal structure of Ba2CdOsO8, from Alexandria via LeMat-Bulk.

```
12
Lattice="4.914 0.000 0.000 0.015 5.441 0.000 1.362 0.430 7.166" Properties=species:S:1:pos:R:3 pbc="T T T"
Ba 0.819 0.131 1.608
Ba 5.472 5.740 5.559
Cd 3.146 2.935 3.583
Os 2.464 2.720 0.000
O 2.410 2.137 6.573
O 1.689 2.832 1.808
O 2.960 4.703 6.624
O 2.612 5.161 3.586
O 3.679 0.710 3.581
O 3.331 1.168 0.543
O 4.602 3.038 5.359
O 3.881 3.734 0.593
```

Calculated values
ΔE_f (raw) = -1.451 eV/atom
Calculated density = 6.112 Mg/m³
Symmetry = P-1, No. 2

=====

Entry 4:
The following is a GGA-PBE calculation of an optimized crystal structure of Ba3CdOs2O9, from Alexandria via LeMat-Bulk.

```
15
Lattice="5.865 0.000 0.000 -2.933 5.079 0.000 0.000 0.000 7.202" Properties=species:S:1:pos:R:3 pbc="T T T"
Ba 0.000 0.000 0.000
Ba 0.000 3.386 4.703
Ba 2.933 1.693 2.499
Cd 0.000 0.000 3.601
Os 0.000 3.386 1.077
Os 2.933 1.693 6.125
O -1.466 2.540 0.000
O 0.000 1.817 2.244
O -1.359 4.171 2.244
O 1.574 0.909 4.958
O 2.933 0.000 0.000
O 1.466 2.540 0.000
O 1.359 4.171 2.244
O 4.292 0.909 4.958
O 2.933 3.262 4.958
```

Calculated values
ΔE_f (raw) = -1.780 eV/atom
Calculated density = 8.117 Mg/m³
Symmetry = P-3m1, No. 164

=====

Entry 5:
The following is a GGA-PBE calculation of an optimized crystal structure of BaCd2OsO6, from Alexandria via LeMat-Bulk.

```
20
Lattice="5.898 0.000 0.000 0.000 6.015 0.000 -5.844 0.000 8.484" Properties=species:S:1:pos:R:3 pbc="T T T"
Ba 0.000 0.000 0.000
Ba -2.922 3.008 4.242
Cd -3.053 0.108 6.158
Cd -0.131 2.899 1.915
Cd 0.185 3.116 6.569
Cd 3.107 5.907 2.327
Os 0.027 0.000 4.242
Os 2.949 3.008 0.000
O -0.642 0.797 2.529
O -3.564 2.211 6.772
O 1.204 3.762 0.274
O -1.718 5.261 4.516
O 2.333 1.423 0.891
O -0.589 1.585 5.133
O 0.643 4.430 3.351
O -2.279 4.593 7.593
O 1.772 0.754 3.968
O -1.150 2.253 8.210
O 3.618 3.805 1.713
O 0.696 5.218 5.955
```

Calculated values
ΔE_f (raw) = -1.333 eV/atom
Calculated density = 7.153 Mg/m³
Symmetry = P2_1/c, No. 14

=====

Entry 6:
The following is a GGA-PBE calculation of an optimized crystal structure of BaCdP2O, from Alexandria via LeMat-Bulk.

```
5
Lattice="5.089 0.000 0.000 0.000 5.089 0.000 0.000 0.000 4.559" Properties=species:S:1:pos:R:3 pbc="T T T"
Ba 0.000 0.000 0.000
Cd 2.544 2.544 2.279
P 0.000 2.544 2.279
P 2.544 0.000 2.279
O 2.544 2.544 0.000
```

Calculated values
Energy above the most stable polymorph in this dataset = 0.0000 eV per atom
ΔE_f (raw) = -0.055 eV/atom
Calculated density = 4.609 Mg/m³
Symmetry = P4/mmm, No. 123

=====

Entry 7:
The following is a GGA-PBE calculation of an optimized crystal structure of BaCdP2O, from Alexandria via LeMat-Bulk.

```
5
Lattice="6.337 0.000 0.000 0.000 6.337 0.000 0.000 0.000 7.558" Properties=species:S:1:pos:R:3 pbc="T T T"
Ba 0.000 0.000 0.000
Cd 0.000 0.000 3.779
P 0.000 3.168 0.000
P 3.168 0.000 0.000
O 3.168 3.168 3.779
```

Calculated values
Energy above the most stable polymorph in this dataset = 1.4533 eV per atom
ΔE_f (raw) = 1.399 eV/atom
Calculated density = 1.793 Mg/m³
Symmetry = P4/mmm, No. 123

=====

Entry 8:
The following is a GGA-PBE calculation of an optimized crystal structure of BaCdP2O8, from Alexandria via LeMat-Bulk.

```
12
Lattice="5.403 0.000 0.000 -2.701 4.679 0.000 0.000 0.000 7.883" Properties=species:S:1:pos:R:3 pbc="T T T"
Ba 0.000 0.000 0.000
Cd 0.000 0.000 3.941
P 0.000 3.119 5.987
P 2.701 1.560 1.896
O -0.016 1.650 5.518
O -1.264 3.867 5.518
O 0.000 3.119 7.542
O 1.422 0.839 2.365
O 1.280 3.840 5.518
O 2.701 1.560 0.340
O 3.966 0.812 2.365
O 2.717 3.028 2.365
```

Calculated values
ΔE_f (raw) = -1.980 eV/atom
Calculated density = 3.664 Mg/m³
Symmetry = P-3, No. 147

=====

Entry 9:
The following is a GGA-PBE calculation of an optimized crystal structure of BaCdP2O, from Alexandria via LeMat-Bulk.

```
5
Lattice="5.978 0.000 0.000 0.000 5.978 0.000 0.000 0.000 4.474" Properties=species:S:1:pos:R:3 pbc="T T T"
Ba 0.000 0.000 0.000
Cd 2.989 2.989 2.237
P 0.000 2.989 0.000
P 2.989 0.000 0.000
O 0.000 0.000 2.237
```

Calculated values
Energy above the most stable polymorph in this dataset = 0.7834 eV per atom
ΔE_f (raw) = 0.729 eV/atom
Calculated density = 3.404 Mg/m³
Symmetry = P4/mmm, No. 123

=====

Entry 10:
The following is a GGA-PBE calculation of an optimized crystal structure of BaCdP4O12, from Alexandria via LeMat-Bulk.

```
72
Lattice="7.363 0.000 0.000 0.000 9.449 0.000 -7.182 0.000 15.202" Properties=species:S:1:pos:R:3 pbc="T T T"
Ba 0.129 1.042 2.009
Ba -3.462 3.683 9.610
Ba 3.643 5.766 5.592
Ba 0.052 8.407 13.193
Cd -3.498 6.845 12.810
Cd 0.093 7.328 5.209
Cd 0.088 2.121 9.994
Cd 3.679 2.604 2.392
P -1.742 0.961 4.882
P -5.333 3.764 12.483
P -1.803 7.075 8.224
P 1.788 7.099 0.623
P -4.496 1.599 14.329
P -0.905 3.126 6.728
P 1.052 4.951 2.656
P -2.539 9.222 10.257
P 2.720 0.227 4.945
P -0.871 4.498 12.546
P 1.086 6.323 8.474
P 4.677 7.850 0.873
P -1.607 2.350 14.579
P 1.984 2.374 6.978
P 5.514 5.685 2.719
P 1.923 8.488 10.320
O -1.626 6.673 3.835
O -5.217 7.500 11.436
O -0.537 4.823 2.396
O -4.128 9.351 9.997
O -2.925 6.141 8.568
O 0.666 8.032 0.967
O -5.037 0.460 13.544
O -1.446 4.265 5.943
O -1.560 1.702 6.295
O -5.151 3.022 13.896
O -5.200 6.824 14.355
O -1.609 7.349 6.754
O -0.578 0.032 4.642
O -4.169 4.692 12.243
O 1.594 5.652 1.312
O -1.997 8.522 8.913
O -2.045 1.193 10.212
O 1.546 3.532 2.611
O 2.554 1.567 0.634
O -1.037 3.158 8.235
O 1.333 5.790 3.873
O -2.258 8.383 11.474
O -2.951 1.810 13.883
O 0.640 2.915 6.282
O -0.459 6.534 8.920
O 3.132 7.639 1.319
O 2.439 1.066 3.729
O -1.152 3.659 11.330
O 1.218 6.291 6.967
O -2.373 7.882 14.568
O -1.365 5.917 12.591
O 2.225 8.256 4.990
O 2.178 0.927 6.289
O -1.413 3.797 13.890
O 4.350 4.757 2.959
O 0.759 9.417 10.560
O 1.790 2.100 8.448
O 5.381 2.625 0.847
O 5.332 6.427 1.306
O 1.741 7.747 8.907
O 1.627 5.184 9.259
O 5.218 8.989 1.658
O -0.485 1.417 14.235
O 3.106 3.308 6.634
O 4.309 0.098 5.205
O 0.718 4.626 12.806
O 5.398 1.948 3.766
O 1.807 2.776 11.367
```

Calculated values
ΔE_f (raw) = -2.254 eV/atom
Calculated density = 3.552 Mg/m³
Symmetry = P2_1/c, No. 14

=====

Entry 11:
The following is a GGA-PBE calculation of an optimized crystal structure of BaCdPO4, from Alexandria via LeMat-Bulk.

```
7
Lattice="0.000 4.329 4.329 4.329 0.000 4.329 4.329 4.329 0.000" Properties=species:S:1:pos:R:3 pbc="T T T"
Ba 0.000 0.000 0.000
Cd 2.164 2.164 2.164
P 4.329 4.329 4.329
O 3.431 3.431 3.431
O 5.227 5.227 3.431
O 5.227 3.431 5.227
O 3.431 5.227 5.227
```

Calculated values
ΔE_f (raw) = -1.776 eV/atom
Calculated density = 3.528 Mg/m³
Symmetry = F-43m, No. 216

=====

Entry 12:
The following is a GGA-PBE calculation of an optimized crystal structure of BaCdP2O7, from Alexandria via LeMat-Bulk.

```
22
Lattice="5.738 0.000 0.000 0.461 7.165 0.000 0.071 1.557 7.614" Properties=species:S:1:pos:R:3 pbc="T T T"
Ba 1.492 2.367 3.342
Ba 4.777 6.355 4.273
Cd 1.428 3.893 6.862
Cd 4.841 4.829 0.753
P 1.977 5.716 2.260
P 2.065 7.365 6.887
P 4.205 1.356 0.728
P 4.293 3.006 5.355
O 0.699 4.851 2.388
O 0.917 6.309 6.793
O 1.390 1.417 6.010
O 1.948 6.408 0.795
O 1.987 6.843 3.286
O 2.841 2.048 0.911
O 3.038 3.893 5.257
O 3.232 4.829 2.357
O 3.429 6.673 6.704
O 4.282 1.879 4.328
O 4.322 2.314 6.820
O 4.880 7.305 1.604
O 5.352 2.413 0.821
O 5.570 3.871 5.227
```

Calculated values
ΔE_f (raw) = -2.351 eV/atom
Calculated density = 4.495 Mg/m³
Symmetry = P-1, No. 2

=====

Entry 13:
The following is a GGA-PBE calculation of an optimized crystal structure of BaCdPO2, from Alexandria via LeMat-Bulk.

```
5
Lattice="4.567 0.000 0.000 0.000 4.567 0.000 0.000 0.000 4.863" Properties=species:S:1:pos:R:3 pbc="T T T"
Ba 0.000 0.000 0.000
Cd 2.284 2.284 2.431
P 2.284 2.284 0.000
O 0.000 2.284 2.431
O 2.284 0.000 2.431
```

Calculated values
Energy above the most stable polymorph in this dataset = 0.0000 eV per atom
ΔE_f (raw) = -0.489 eV/atom
Calculated density = 5.119 Mg/m³
Symmetry = P4/mmm, No. 123

=====

Entry 14:
The following is a GGA-PBE calculation of an optimized crystal structure of BaCdPO2, from Alexandria via LeMat-Bulk.

```
5
Lattice="4.440 0.000 0.000 0.000 4.440 0.000 0.000 0.000 6.973" Properties=species:S:1:pos:R:3 pbc="T T T"
Ba 0.000 0.000 0.000
Cd 2.220 2.220 3.486
P 0.000 0.000 3.486
O 0.000 2.220 0.000
O 2.220 0.000 0.000
```

Calculated values
Energy above the most stable polymorph in this dataset = 0.5623 eV per atom
ΔE_f (raw) = 0.073 eV/atom
Calculated density = 3.778 Mg/m³
Symmetry = P4/mmm, No. 123

=====

Entry 15:
The following is a GGA-PBE calculation of an optimized crystal structure of BaPa2Cd2O7, from Alexandria via LeMat-Bulk.

```
12
Lattice="-2.180 2.180 11.560 2.180 -2.180 11.560 2.180 2.180 -11.560" Properties=species:S:1:pos:R:3 pbc="T T T"
Ba 0.000 0.000 0.000
Pa 0.000 0.000 9.302
Pa 0.000 0.000 13.818
Cd 2.180 0.000 5.780
Cd 0.000 2.180 5.780
O 2.180 0.000 1.963
O 0.000 0.000 7.157
O 2.180 0.000 9.597
O 0.000 0.000 11.560
O 0.000 2.180 1.963
O 0.000 0.000 15.962
O 0.000 2.180 9.597
```

Calculated values
ΔE_f (raw) = -2.670 eV/atom
Calculated density = 7.078 Mg/m³
Symmetry = I4/mmm, No. 139

=====

Entry 16:
The following is a GGA-PBE calculation of an optimized crystal structure of Ba2PaCd2O6, from Alexandria via LeMat-Bulk.

```
11
Lattice="5.433 -3.200 0.000 5.433 3.200 0.000 -3.609 0.000 6.048" Properties=species:S:1:pos:R:3 pbc="T T T"
Ba 1.776 0.000 0.952
Ba 5.481 0.000 5.095
Pa -1.805 0.000 3.024
Cd 1.991 0.000 4.653
Cd 5.266 0.000 1.395
O 3.801 1.710 1.389
O 0.351 0.000 3.242
O 3.455 1.710 4.659
O 3.801 -1.710 1.389
O 6.906 0.000 2.806
O 3.455 -1.710 4.659
```

Calculated values
ΔE_f (raw) = -2.352 eV/atom
Calculated density = 6.527 Mg/m³
Symmetry = C2/m, No. 12

=====

Entry 17:
The following is a GGA-PBE calculation of an optimized crystal structure of BaPaCdO4, from Alexandria via LeMat-Bulk.

```
14
Lattice="-3.222 3.577 5.935 3.222 -3.577 5.935 3.222 3.577 -5.935" Properties=species:S:1:pos:R:3 pbc="T T T"
Ba 0.000 1.788 1.813
Ba 3.222 1.788 4.122
Pa 3.222 0.000 0.000
Pa 0.000 0.000 5.935
Cd 1.611 1.788 -2.967
Cd 1.611 -1.788 2.967
O 3.222 0.087 2.111
O 1.850 1.788 -0.055
O 4.594 1.788 -0.055
O 0.000 0.087 3.824
O 3.222 3.490 2.111
O -1.372 1.788 5.989
O 1.372 1.788 5.989
O 0.000 3.490 3.824
```

Calculated values
ΔE_f (raw) = -2.584 eV/atom
Calculated density = 6.613 Mg/m³
Symmetry = Imma, No. 74

=====

Entry 18:
The following is a GGA-PBE calculation of an optimized crystal structure of BaPaCdO5, from Alexandria via LeMat-Bulk.

```
16
Lattice="3.815 -5.236 0.000 3.815 5.236 0.000 -3.648 0.000 7.592" Properties=species:S:1:pos:R:3 pbc="T T T"
Ba 1.079 3.352 5.694
Ba 2.903 -3.352 1.898
Pa 3.815 0.000 0.000
Pa 1.991 0.000 3.796
Cd 2.903 3.242 1.898
Cd 1.079 -3.242 5.694
O -1.740 0.423 6.855
O 1.615 2.063 3.194
O 0.084 -0.423 3.059
O 4.192 2.063 0.602
O 1.079 0.598 5.694
O 2.903 -0.598 1.898
O -0.209 -2.063 6.990
O 3.899 0.423 4.533
O 2.368 -2.063 4.398
O 5.723 -0.423 0.737
```

Calculated values
ΔE_f (raw) = -2.481 eV/atom
Calculated density = 6.140 Mg/m³
Symmetry = C2/c, No. 15

=====

Entry 19:
The following is a GGA-PBE calculation of an optimized crystal structure of BaPa2CdO7, from Alexandria via LeMat-Bulk.

```
11
Lattice="-2.177 2.177 10.304 2.177 -2.177 10.304 2.177 2.177 -10.304" Properties=species:S:1:pos:R:3 pbc="T T T"
Ba 0.000 0.000 0.000
Pa 0.000 0.000 8.040
Pa 0.000 0.000 12.567
Cd 0.000 2.177 5.152
O 2.177 0.000 1.911
O 0.000 0.000 5.945
O 2.177 0.000 8.393
O 0.000 0.000 10.304
O 0.000 2.177 2.039
O 0.000 0.000 14.663
O 0.000 2.177 8.265
```

Calculated values
ΔE_f (raw) = -3.005 eV/atom
Calculated density = 7.006 Mg/m³
Symmetry = I-4m2, No. 119